Re2Ag | PBE | optimized geometry

Lattice parameters (Å, degrees): 5.245 5.245 6.880 76.16 76.16 31.34
Positions (direct):
Re1 0.020 0.020 0.677
Ag1 0.639 0.639 0.965
Ag2 0.361 0.361 0.035
Re2 0.980 0.980 0.323
Re3 0.692 0.692 0.381
Re4 0.308 0.308 0.619

AcGa3CuNi | PBE | optimized geometry

Lattice parameters (Å, degrees): 6.425 6.416 6.740 118.43 90.00 90.00
Positions (direct):
Ac1 0.750 0.242 0.484
Ga1 0.250 0.208 0.416
Cu1 0.250 0.402 0.804
Ga2 0.750 0.792 0.584
Ga3 0.500 0.727 0.000
Ac2 0.250 0.758 0.516
Ga4 0.000 0.727 0.000
Cu2 0.750 0.598 0.196
Ga5 0.000 0.273 0.000
Ni1 0.750 0.981 0.962
Ga6 0.500 0.273 0.000
Ni2 0.250 0.019 0.038

Record-wise ΔE_f values, in eV/f.u.: 1.17 -1.78